## 1
## HoEr12Tm6 (PBE)

Data for a relaxed HoEr12Tm6 crystal.

Values from the calculation:
spin magnetization	0.00	μB per atom

Lattice parameters (Å, degrees): 14.8238 14.8238 9.9596 90.00 90.00 120.00
Space group R-3m (No. 166, hexagonal axes)
One atom of each set of equivalent atoms:
Ho (0.0000, 0.0000, 0.0000) (multiplicity 3)
Er (0.0000, 0.3887, 0.5000) (multiplicity 18)
Er (0.0740, 0.1480, 0.2785) (multiplicity 18)
Tm (0.0592, 0.5296, 0.2147) (multiplicity 18)

=====

## 2
## HoEr12Tm6 (PBE)

Data for a relaxed HoEr12Tm6 crystal.

Values from the calculation:
spin magnetization	0.00	μB per atom

Lattice parameters (Å, degrees): 11.6736 11.6736 15.0321 90.00 90.00 120.00
Space group R-3 (No. 148, hexagonal axes)
One atom of each set of equivalent atoms:
Ho (0.0000, 0.0000, 0.0000) (multiplicity 3)
Er (0.0163, 0.8343, 0.1912) (multiplicity 18)
Er (0.0408, 0.8509, 0.4155) (multiplicity 18)
Tm (0.0104, 0.4235, 0.6792) (multiplicity 18)

=====

Which one sits at the top of the stability order? 2 does.

=====

## 1
## Ho4Er5Tm3 (PBE)

Data for a relaxed Ho4Er5Tm3 crystal.

Values from the calculation:
spin magnetization	0.05	μB per atom

Lattice parameters (Å, degrees): 15.840 5.785 9.146 90.00 116.61 90.00
Space group C2/m (No. 12)
One atom of each set of equivalent atoms:
Ho (0.081, 0.000, 0.440) (multiplicity 4)
Ho (0.214, 0.000, 0.879) (multiplicity 4)
Er (0.000, 0.000, 0.000) (multiplicity 2)
Er (0.073, 0.500, 0.702) (multiplicity 4)
Er (0.173, 0.500, 0.385) (multiplicity 4)
Tm (0.000, 0.500, 0.000) (multiplicity 2)
Tm (0.210, 0.000, 0.233) (multiplicity 4)

=====

## 2
## Ho4Er5Tm3 (PBE)

Data for a relaxed Ho4Er5Tm3 crystal.

Values from the calculation:
spin magnetization	0.00	μB per atom

Lattice parameters (Å, degrees): 6.057 7.005 8.563 89.92 89.93 89.95
Space group P-1 (No. 2)
One atom of each set of equivalent atoms:
Ho (0.167, 0.000, 0.333) (multiplicity 2)
Ho (0.333, 0.749, 0.667) (multiplicity 2)
Er (0.000, 0.250, 0.000) (multiplicity 2)
Er (0.167, 0.500, 0.333) (multiplicity 2)
Er (0.500, 0.000, 0.000) (multiplicity 1)
Tm (0.333, 0.250, 0.667) (multiplicity 2)
Tm (0.500, 0.500, 0.000) (multiplicity 1)

=====

Which one sits at the top of the stability order? 2 does.

=====

## 1
## Ho5Er2Tm (PBE)

Data for a relaxed Ho5Er2Tm crystal.

Values from the calculation:
spin magnetization	0.00	μB per atom

Lattice parameters (Å, degrees): 7.012 14.023 4.953 90.00 90.00 90.00
Space group Pbam (No. 55)
One atom of each set of equivalent atoms:
Ho (0.000, 0.000, 0.000) (multiplicity 2)
Ho (0.000, 0.250, 0.000) (multiplicity 4)
Ho (0.250, 0.125, 0.500) (multiplicity 4)
Er (0.250, 0.375, 0.500) (multiplicity 4)
Tm (0.000, 0.500, 0.000) (multiplicity 2)

=====

## 2
## Ho5Er2Tm (PBE)

Data for a relaxed Ho5Er2Tm crystal.

Values from the calculation:
spin magnetization	0.00	μB per atom

Lattice parameters (Å, degrees): 6.618 8.341 9.484 75.92 84.12 77.82
Space group P-1 (No. 2)
One atom of each set of equivalent atoms:
Ho (0.011, 0.240, 0.198) (multiplicity 2)
Ho (0.136, 0.115, 0.573) (multiplicity 2)
Ho (0.260, 0.989, 0.948) (multiplicity 2)
Ho (0.365, 0.385, 0.927) (multiplicity 2)
Ho (0.385, 0.865, 0.323) (multiplicity 2)
Er (0.114, 0.634, 0.177) (multiplicity 2)
Er (0.240, 0.510, 0.552) (multiplicity 2)
Tm (0.490, 0.261, 0.302) (multiplicity 2)

=====

Which one sits at the top of the stability order? 2 does.